Record 1
# MgMo2Ir | Alexandria via LeMat-Bulk | PBE | optimized geometry
# **D(E_F)**: 0.826 states/eV/atom
data_MgMo2Ir
_space_group_name_H-M_alt 'P 1'
_space_group_IT_number 1
_space_group_name_Hall 'P 1'
_cell_length_a 2.771
_cell_length_b 4.029
_cell_length_c 5.646
_cell_angle_alpha 90.00
_cell_angle_beta 90.00
_cell_angle_gamma 90.00
loop_
_atom_site_label
_atom_site_type_symbol
_atom_site_fract_x
_atom_site_fract_y
_atom_site_fract_z
Mg1 Mg 0.000 0.000 0.000
Mo1 Mo 0.000 0.000 0.513
Mo2 Mo 0.500 0.500 0.265
Ir1 Ir 0.500 0.500 0.773

---

Record 2
# MgMo2Ir | Alexandria via LeMat-Bulk | PBE | optimized geometry
# **D(E_F)**: 1.084 states/eV/atom
data_MgMo2Ir
_space_group_name_H-M_alt 'P 1'
_space_group_IT_number 1
_space_group_name_Hall 'P 1'
_cell_length_a 9.610
_cell_length_b 9.610
_cell_length_c 9.610
_cell_angle_alpha 16.84
_cell_angle_beta 16.84
_cell_angle_gamma 16.84
loop_
_atom_site_label
_atom_site_type_symbol
_atom_site_fract_x
_atom_site_fract_y
_atom_site_fract_z
Mg1 Mg 0.000 0.000 0.000
Mo1 Mo 0.244 0.244 0.244
Mo2 Mo 0.756 0.756 0.756
Ir1 Ir 0.500 0.500 0.500

---

Record 3
# MgMoIr | Alexandria via LeMat-Bulk | PBE | optimized geometry
# **D(E_F)**: 0.477 states/eV/atom
# **Polymorph energy (0 for the lowest one)**: 0 meV/atom
data_MgMoIr
_space_group_name_H-M_alt 'P 1'
_space_group_IT_number 1
_space_group_name_Hall 'P 1'
_cell_length_a 12.689
_cell_length_b 12.689
_cell_length_c 12.689
_cell_angle_alpha 166.99
_cell_angle_beta 166.99
_cell_angle_gamma 18.44
loop_
_atom_site_label
_atom_site_type_symbol
_atom_site_fract_x
_atom_site_fract_y
_atom_site_fract_z
Mg1 Mg 0.065 0.065 0.000
Mg2 Mg 0.935 0.935 0.000
Mo1 Mo 0.208 0.208 0.000
Mo2 Mo 0.792 0.792 0.000
Ir1 Ir 0.362 0.362 0.000
Ir2 Ir 0.638 0.638 0.000

---

Record 4
# MgMo2Ir | Alexandria via LeMat-Bulk | PBE | optimized geometry
# **D(E_F)**: 0.375 states/eV/atom
data_MgMo2Ir
_space_group_name_H-M_alt 'P 1'
_space_group_IT_number 1
_space_group_name_Hall 'P 1'
_cell_length_a 2.773
_cell_length_b 2.773
_cell_length_c 8.426
_cell_angle_alpha 90.00
_cell_angle_beta 90.00
_cell_angle_gamma 90.00
loop_
_atom_site_label
_atom_site_type_symbol
_atom_site_fract_x
_atom_site_fract_y
_atom_site_fract_z
Mg1 Mg 0.000 0.000 0.000
Mo1 Mo 0.500 0.500 0.270
Mo2 Mo 0.500 0.500 0.730
Ir1 Ir 0.000 0.000 0.500

---

Record 5
# MgMo2Ir | Alexandria via LeMat-Bulk | PBE | optimized geometry
# **D(E_F)**: 0.962 states/eV/atom
data_MgMo2Ir
_space_group_name_H-M_alt 'P 1'
_space_group_IT_number 1
_space_group_name_Hall 'P 1'
_cell_length_a 5.868
_cell_length_b 5.868
_cell_length_c 5.868
_cell_angle_alpha 101.16
_cell_angle_beta 101.16
_cell_angle_gamma 127.80
loop_
_atom_site_label
_atom_site_type_symbol
_atom_site_fract_x
_atom_site_fract_y
_atom_site_fract_z
Mg1 Mg 0.000 0.000 0.000
Mg2 Mg 0.750 0.250 0.500
Mo1 Mo 0.165 0.625 0.040
Mo2 Mo 0.375 0.415 0.540
Mo3 Mo 0.585 0.125 0.960
Mo4 Mo 0.875 0.835 0.460
Ir1 Ir 0.250 0.750 0.500
Ir2 Ir 0.500 0.500 0.000

---

Record 6
# MgMoIr | Alexandria via LeMat-Bulk | PBE | optimized geometry
# **D(E_F)**: 1.564 states/eV/atom
# **Polymorph energy (0 for the lowest one)**: 283 meV/atom
data_MgMoIr
_space_group_name_H-M_alt 'P 1'
_space_group_IT_number 1
_space_group_name_Hall 'P 1'
_cell_length_a 4.270
_cell_length_b 4.270
_cell_length_c 4.270
_cell_angle_alpha 60.00
_cell_angle_beta 60.00
_cell_angle_gamma 60.00
loop_
_atom_site_label
_atom_site_type_symbol
_atom_site_fract_x
_atom_site_fract_y
_atom_site_fract_z
Mg1 Mg 0.000 0.000 0.000
Mo1 Mo 0.500 0.500 0.500
Ir1 Ir 0.750 0.750 0.750

---

Record 7
# MgMo2Ir | Alexandria via LeMat-Bulk | PBE | optimized geometry
# **D(E_F)**: 0.391 states/eV/atom
data_MgMo2Ir
_space_group_name_H-M_alt 'P 1'
_space_group_IT_number 1
_space_group_name_Hall 'P 1'
_cell_length_a 5.314
_cell_length_b 5.314
_cell_length_c 5.314
_cell_angle_alpha 145.79
_cell_angle_beta 132.11
_cell_angle_gamma 60.16
loop_
_atom_site_label
_atom_site_type_symbol
_atom_site_fract_x
_atom_site_fract_y
_atom_site_fract_z
Mg1 Mg 0.000 0.000 0.000
Mo1 Mo 0.256 0.756 0.500
Mo2 Mo 0.744 0.244 0.500
Ir1 Ir 0.500 0.500 0.000

---

Record 8
# Mg3MoIr | Alexandria via LeMat-Bulk | PBE | optimized geometry
# **D(E_F)**: 0.342 states/eV/atom
# **Polymorph energy (0 for the lowest one)**: 774 meV/atom
data_Mg3MoIr
_space_group_name_H-M_alt 'P 1'
_space_group_IT_number 1
_space_group_name_Hall 'P 1'
_cell_length_a 4.946
_cell_length_b 4.946
_cell_length_c 4.946
_cell_angle_alpha 90.00
_cell_angle_beta 90.00
_cell_angle_gamma 90.00
loop_
_atom_site_label
_atom_site_type_symbol
_atom_site_fract_x
_atom_site_fract_y
_atom_site_fract_z
Mg1 Mg 0.000 0.000 0.500
Mg2 Mg 0.000 0.500 0.000
Mg3 Mg 0.500 0.000 0.000
Mo1 Mo 0.000 0.000 0.000
Ir1 Ir 0.500 0.500 0.500

---

Record 9
# MgMoIr | Alexandria via LeMat-Bulk | PBE | optimized geometry
# **D(E_F)**: 0.580 states/eV/atom
# **Polymorph energy (0 for the lowest one)**: 286 meV/atom
data_MgMoIr
_space_group_name_H-M_alt 'P 1'
_space_group_IT_number 1
_space_group_name_Hall 'P 1'
_cell_length_a 7.301
_cell_length_b 7.088
_cell_length_c 2.757
_cell_angle_alpha 83.34
_cell_angle_beta 74.63
_cell_angle_gamma 22.03
loop_
_atom_site_label
_atom_site_type_symbol
_atom_site_fract_x
_atom_site_fract_y
_atom_site_fract_z
Mg1 Mg 0.000 0.000 0.000
Mo1 Mo 0.322 0.322 0.678
Ir1 Ir 0.665 0.665 0.335

---

Record 10
# Mg2MoIr2 | Alexandria via LeMat-Bulk | PBE | optimized geometry
# **D(E_F)**: 1.073 states/eV/atom
data_Mg2MoIr2
_space_group_name_H-M_alt 'P 1'
_space_group_IT_number 1
_space_group_name_Hall 'P 1'
_cell_length_a 6.506
_cell_length_b 6.506
_cell_length_c 4.204
_cell_angle_alpha 90.00
_cell_angle_beta 90.00
_cell_angle_gamma 90.00
loop_
_atom_site_label
_atom_site_type_symbol
_atom_site_fract_x
_atom_site_fract_y
_atom_site_fract_z
Mg1 Mg 0.173 0.327 0.000
Mg2 Mg 0.327 0.827 0.000
Mg3 Mg 0.673 0.173 0.000
Mg4 Mg 0.827 0.673 0.000
Mo1 Mo 0.000 0.000 0.500
Mo2 Mo 0.500 0.500 0.500
Ir1 Ir 0.134 0.634 0.500
Ir2 Ir 0.366 0.134 0.500
Ir3 Ir 0.634 0.866 0.500
Ir4 Ir 0.866 0.366 0.500

---

Record 11
# MgMo2Ir | Alexandria via LeMat-Bulk | PBE | optimized geometry
# **D(E_F)**: 0.829 states/eV/atom
data_MgMo2Ir
_space_group_name_H-M_alt 'P 1'
_space_group_IT_number 1
_space_group_name_Hall 'P 1'
_cell_length_a 5.191
_cell_length_b 5.191
_cell_length_c 2.753
_cell_angle_alpha 97.11
_cell_angle_beta 97.11
_cell_angle_gamma 119.49
loop_
_atom_site_label
_atom_site_type_symbol
_atom_site_fract_x
_atom_site_fract_y
_atom_site_fract_z
Mg1 Mg 0.000 0.000 0.000
Mo1 Mo 0.000 0.500 0.500
Mo2 Mo 0.500 0.000 0.500
Ir1 Ir 0.500 0.500 0.000

---

Record 12
# MgMoIr | Alexandria via LeMat-Bulk | PBE | optimized geometry
# **D(E_F)**: 0.376 states/eV/atom
# **Polymorph energy (0 for the lowest one)**: 151 meV/atom
data_MgMoIr
_space_group_name_H-M_alt 'P 1'
_space_group_IT_number 1
_space_group_name_Hall 'P 1'
_cell_length_a 4.411
_cell_length_b 4.411
_cell_length_c 2.797
_cell_angle_alpha 90.00
_cell_angle_beta 90.00
_cell_angle_gamma 120.00
loop_
_atom_site_label
_atom_site_type_symbol
_atom_site_fract_x
_atom_site_fract_y
_atom_site_fract_z
Mg1 Mg 0.000 0.000 0.000
Mo1 Mo 0.667 0.333 0.400
Ir1 Ir 0.333 0.667 0.653

---

Record 13
# MgMo2Ir | Alexandria via LeMat-Bulk | PBE | optimized geometry
# **D(E_F)**: 0.645 states/eV/atom
data_MgMo2Ir
_space_group_name_H-M_alt 'P 1'
_space_group_IT_number 1
_space_group_name_Hall 'P 1'
_cell_length_a 3.079
_cell_length_b 4.320
_cell_length_c 4.676
_cell_angle_alpha 90.00
_cell_angle_beta 90.00
_cell_angle_gamma 90.00
loop_
_atom_site_label
_atom_site_type_symbol
_atom_site_fract_x
_atom_site_fract_y
_atom_site_fract_z
Mg1 Mg 0.000 0.000 0.000
Mo1 Mo 0.000 0.500 0.500
Mo2 Mo 0.500 0.000 0.500
Ir1 Ir 0.500 0.500 0.000

---

Record 14
# MgMo2Ir | Alexandria via LeMat-Bulk | PBE | optimized geometry
# **D(E_F)**: 0.900 states/eV/atom
data_MgMo2Ir
_space_group_name_H-M_alt 'P 1'
_space_group_IT_number 1
_space_group_name_Hall 'P 1'
_cell_length_a 9.438
_cell_length_b 9.438
_cell_length_c 9.438
_cell_angle_alpha 17.24
_cell_angle_beta 17.24
_cell_angle_gamma 17.24
loop_
_atom_site_label
_atom_site_type_symbol
_atom_site_fract_x
_atom_site_fract_y
_atom_site_fract_z
Mg1 Mg 0.000 0.000 0.000
Mo1 Mo 0.509 0.509 0.509
Mo2 Mo 0.756 0.756 0.756
Ir1 Ir 0.251 0.251 0.251

---

Record 15
# MgMo3Ir | Alexandria via LeMat-Bulk | PBE | optimized geometry
# **D(E_F)**: 1.340 states/eV/atom
# **Polymorph energy (0 for the lowest one)**: 0 meV/atom
data_MgMo3Ir
_space_group_name_H-M_alt 'P 1'
_space_group_IT_number 1
_space_group_name_Hall 'P 1'
_cell_length_a 4.780
_cell_length_b 4.780
_cell_length_c 4.780
_cell_angle_alpha 90.00
_cell_angle_beta 90.00
_cell_angle_gamma 90.00
loop_
_atom_site_label
_atom_site_type_symbol
_atom_site_fract_x
_atom_site_fract_y
_atom_site_fract_z
Mg1 Mg 0.000 0.000 0.000
Mo1 Mo 0.000 0.500 0.500
Mo2 Mo 0.500 0.000 0.500
Mo3 Mo 0.500 0.500 0.000
Ir1 Ir 0.500 0.500 0.500

---

Record 16
# MgMo2Ir2 | Alexandria via LeMat-Bulk | PBE | optimized geometry
# **D(E_F)**: 0.629 states/eV/atom
# **Polymorph energy (0 for the lowest one)**: 28 meV/atom
data_MgMo2Ir2
_space_group_name_H-M_alt 'P 1'
_space_group_IT_number 1
_space_group_name_Hall 'P 1'
_cell_length_a 7.762
_cell_length_b 7.762
_cell_length_c 2.779
_cell_angle_alpha 90.00
_cell_angle_beta 90.00
_cell_angle_gamma 90.00
loop_
_atom_site_label
_atom_site_type_symbol
_atom_site_fract_x
_atom_site_fract_y
_atom_site_fract_z
Mg1 Mg 0.000 0.000 0.000
Mg2 Mg 0.500 0.500 0.000
Mo1 Mo 0.119 0.381 0.000
Mo2 Mo 0.381 0.881 0.000
Mo3 Mo 0.619 0.119 0.000
Mo4 Mo 0.881 0.619 0.000
Ir1 Ir 0.171 0.671 0.500
Ir2 Ir 0.329 0.171 0.500
Ir3 Ir 0.671 0.829 0.500
Ir4 Ir 0.829 0.329 0.500

---

Record 17
# Mg4MoIr | Alexandria via LeMat-Bulk | PBE | optimized geometry
# **D(E_F)**: 0.262 states/eV/atom
data_Mg4MoIr
_space_group_name_H-M_alt 'P 1'
_space_group_IT_number 1
_space_group_name_Hall 'P 1'
_cell_length_a 5.321
_cell_length_b 5.321
_cell_length_c 5.321
_cell_angle_alpha 60.00
_cell_angle_beta 60.00
_cell_angle_gamma 60.00
loop_
_atom_site_label
_atom_site_type_symbol
_atom_site_fract_x
_atom_site_fract_y
_atom_site_fract_z
Mg1 Mg 0.125 0.125 0.125
Mg2 Mg 0.125 0.125 0.624
Mg3 Mg 0.125 0.624 0.125
Mg4 Mg 0.624 0.125 0.125
Mo1 Mo 0.750 0.750 0.750
Ir1 Ir 0.500 0.500 0.500

---

Record 18
# MgMo2Ir | Alexandria via LeMat-Bulk | PBE | optimized geometry
# **D(E_F)**: 0.400 states/eV/atom
data_MgMo2Ir
_space_group_name_H-M_alt 'P 1'
_space_group_IT_number 1
_space_group_name_Hall 'P 1'
_cell_length_a 3.444
_cell_length_b 3.444
_cell_length_c 5.681
_cell_angle_alpha 90.00
_cell_angle_beta 90.00
_cell_angle_gamma 90.00
loop_
_atom_site_label
_atom_site_type_symbol
_atom_site_fract_x
_atom_site_fract_y
_atom_site_fract_z
Mg1 Mg 0.000 0.000 0.000
Mo1 Mo 0.500 0.500 0.289
Mo2 Mo 0.500 0.500 0.711
Ir1 Ir 0.000 0.000 0.500

---

Record 19
# MgMo2Ir | Alexandria via LeMat-Bulk | PBE | optimized geometry
# **D(E_F)**: 0.694 states/eV/atom
data_MgMo2Ir
_space_group_name_H-M_alt 'P 1'
_space_group_IT_number 1
_space_group_name_Hall 'P 1'
_cell_length_a 2.757
_cell_length_b 4.390
_cell_length_c 5.244
_cell_angle_alpha 90.00
_cell_angle_beta 99.31
_cell_angle_gamma 90.00
loop_
_atom_site_label
_atom_site_type_symbol
_atom_site_fract_x
_atom_site_fract_y
_atom_site_fract_z
Mg1 Mg 0.000 0.000 0.000
Mo1 Mo 0.519 0.000 0.501
Mo2 Mo 0.685 0.500 0.248
Ir1 Ir 0.229 0.500 0.753

---

Record 20
# MgMo2Ir | Alexandria via LeMat-Bulk | PBE | optimized geometry
# **D(E_F)**: 0.473 states/eV/atom
data_MgMo2Ir
_space_group_name_H-M_alt 'P 1'
_space_group_IT_number 1
_space_group_name_Hall 'P 1'
_cell_length_a 2.765
_cell_length_b 4.406
_cell_length_c 5.257
_cell_angle_alpha 90.00
_cell_angle_beta 103.08
_cell_angle_gamma 90.00
loop_
_atom_site_label
_atom_site_type_symbol
_atom_site_fract_x
_atom_site_fract_y
_atom_site_fract_z
Mg1 Mg 0.000 0.000 0.000
Mo1 Mo 0.494 0.500 0.752
Mo2 Mo 0.506 0.500 0.248
Ir1 Ir 0.000 0.000 0.500

---

| no. | ΔH_f (0 K) (eV per atom) | total DFT energy (no corrections) (eV per atom) |
| --- | --- | --- |
| 1 | 0.101 | -7.928 |
| 2 | 0.172 | -7.858 |
| 3 | -0.186 | -7.282 |
| 4 | 0.087 | -7.942 |
| 5 | 0.537 | -7.492 |
| 6 | 0.097 | -6.999 |
| 7 | -0.073 | -8.102 |
| 8 | 1.740 | -3.155 |
| 9 | 0.100 | -6.996 |
| 10 | -0.068 | -6.416 |
| 11 | 0.070 | -7.959 |
| 12 | -0.035 | -7.131 |
| 13 | 0.031 | -7.999 |
| 14 | 0.122 | -7.908 |
| 15 | 1.395 | -7.195 |
| 16 | -0.090 | -8.285 |
| 17 | 0.515 | -3.830 |
| 18 | 0.272 | -7.758 |
| 19 | 0.032 | -7.998 |
| 20 | 0.030 | -8.000 |